1.
{
  "formula": "Y2Ho6ErTm3",
  "functional": "PBE",
  "state": "optimized geometry",
  "cell": [[3.052, -5.279, 0.000], [3.052, 5.279, 0.000], [-2.026, 0.000, 11.494]],
  "species": ["Y", "Y", "Ho", "Ho", "Ho", "Ho", "Ho", "Ho", "Er", "Tm", "Tm", "Tm"],
  "frac_coords": [[0.167, 0.833, 0.000], [0.833, 0.167, 0.000], [0.083, 0.416, 0.748], [0.252, 0.252, 0.252], [0.416, 0.083, 0.748], [0.584, 0.917, 0.252], [0.748, 0.748, 0.748], [0.917, 0.584, 0.252], [0.500, 0.500, 0.000], [0.000, 0.000, 0.500], [0.333, 0.667, 0.500], [0.667, 0.333, 0.500]]
}

2.
{
  "formula": "Y2Ho3ErTm6",
  "functional": "PBE",
  "state": "optimized geometry",
  "cell": [[3.043, -5.264, 0.000], [3.043, 5.264, 0.000], [-2.024, 0.000, 11.463]],
  "species": ["Y", "Y", "Ho", "Ho", "Ho", "Er", "Tm", "Tm", "Tm", "Tm", "Tm", "Tm"],
  "frac_coords": [[0.167, 0.833, 0.000], [0.833, 0.167, 0.000], [0.000, 0.000, 0.500], [0.333, 0.667, 0.500], [0.667, 0.333, 0.500], [0.500, 0.500, 0.000], [0.084, 0.416, 0.749], [0.251, 0.251, 0.251], [0.416, 0.084, 0.749], [0.584, 0.916, 0.251], [0.749, 0.749, 0.749], [0.916, 0.584, 0.251]]
}

3.
{
  "formula": "Y5Ho2ErTm",
  "functional": "PBE",
  "state": "optimized geometry",
  "cell": [[2.787, -9.940, 0.000], [2.787, 9.940, 0.000], [0.000, 0.000, 10.540]],
  "species": ["Y", "Y", "Y", "Y", "Y", "Y", "Y", "Y", "Y", "Y", "Ho", "Ho", "Ho", "Ho", "Er", "Er", "Tm", "Tm"],
  "frac_coords": [[0.018, 0.982, 0.500], [0.279, 0.721, 0.795], [0.300, 0.700, 0.186], [0.383, 0.617, 0.502], [0.481, 0.519, 0.218], [0.519, 0.481, 0.718], [0.617, 0.383, 0.002], [0.700, 0.300, 0.686], [0.721, 0.279, 0.295], [0.982, 0.018, 0.000], [0.111, 0.889, 0.217], [0.112, 0.888, 0.795], [0.888, 0.112, 0.295], [0.889, 0.111, 0.717], [0.412, 0.588, 0.935], [0.588, 0.412, 0.435], [0.197, 0.803, 0.492], [0.803, 0.197, 0.992]]
}

4.
{
  "formula": "Y2HoEr4Tm2",
  "functional": "PBE",
  "state": "optimized geometry",
  "cell": [[8.442, -1.769, 0.000], [8.442, 1.769, 0.000], [-1.833, 0.000, 9.368]],
  "species": ["Y", "Y", "Ho", "Er", "Er", "Er", "Er", "Tm", "Tm"],
  "frac_coords": [[0.153, 0.153, 0.089], [0.847, 0.847, 0.911], [0.000, 0.000, 0.500], [0.176, 0.176, 0.738], [0.484, 0.484, 0.175], [0.516, 0.516, 0.825], [0.824, 0.824, 0.262], [0.336, 0.336, 0.577], [0.664, 0.664, 0.423]]
}

5.
{
  "formula": "HoErTmZn",
  "functional": "PBE",
  "state": "optimized geometry",
  "cell": [[3.525, 0.000, 0.000], [0.000, 3.525, 0.000], [0.000, 0.000, 8.526]],
  "species": ["Ho", "Er", "Tm", "Zn"],
  "frac_coords": [[0.000, 0.000, 0.000], [0.500, 0.500, 0.706], [0.500, 0.500, 0.293], [0.000, 0.000, 0.498]],
  "e_above_lowest_polymorph_mev_per_atom": 0.0
}

6.
{
  "formula": "HoErTmZn",
  "functional": "PBE",
  "state": "optimized geometry",
  "cell": [[0.000, 3.730, 3.730], [3.730, 0.000, 3.730], [3.730, 3.730, 0.000]],
  "species": ["Ho", "Er", "Tm", "Zn"],
  "frac_coords": [[0.000, 0.000, 0.000], [0.500, 0.500, 0.500], [0.750, 0.750, 0.750], [0.250, 0.250, 0.250]],
  "e_above_lowest_polymorph_mev_per_atom": 205.3
}

| no. | DFT formation energy (meV per atom) | D(E_F) (states/eV/cell) | total moment (Bohr magnetons per cell) |
| --- | --- | --- | --- |
| 1 | 24 | 17.1 | 0.00 |
| 2 | 26 | 17.3 | 0.00 |
| 3 | 155 | 31.8 | 0.00 |
| 4 | 22 | 13.5 | 0.00 |
| 5 | -164 | 4.0 | 0.00 |
| 6 | 41 | 4.3 | 0.00 |